No. 1
# Tb4SmS5

An optimized crystal structure of Tb4SmS5 (GGA-PBE, Alexandria via LeMat-Bulk).

Values from the calculation:
Calculated density = 7.25 g/cm³
Uncorrected energy = -6.395 eV per atom
D(E_F) = 0.45 states/eV per atom

abc: 3.944 5.572 19.735
angles: 90.00 90.00 90.00
Space group Immm (No. 71)
Inequivalent atoms, fractional coordinates:
1 Tb 0.000 0.000 0.100 (multiplicity 4)
2 Tb 0.000 0.000 0.299 (multiplicity 4)
3 Sm 0.000 0.000 0.500 (multiplicity 2)
4 S 0.000 0.500 0.103 (multiplicity 4)
5 S 0.000 0.500 0.300 (multiplicity 4)
6 S 0.000 0.500 0.500 (multiplicity 2)

No. 2
# TbSmS3

An optimized crystal structure of TbSmS3 (GGA-PBE, Alexandria via LeMat-Bulk).

Values from the calculation:
Calculated density = 5.56 g/cm³
Polymorph energy (0 for the lowest one) = 34.6 meV/atom
Uncorrected energy = -6.394 eV per atom

abc: 7.824 3.946 7.859
angles: 90.00 94.22 90.00
Space group P2_1/m (No. 11)
Inequivalent atoms, fractional coordinates:
1 Tb 0.181 0.250 0.146 (multiplicity 2)
2 Sm 0.269 0.250 0.620 (multiplicity 2)
3 S 0.114 0.750 0.376 (multiplicity 2)
4 S 0.180 0.750 0.898 (multiplicity 2)
5 S 0.481 0.250 0.322 (multiplicity 2)

No. 3
# Tb5Sm3S12

An optimized crystal structure of Tb5Sm3S12 (GGA-PBE, Alexandria via LeMat-Bulk).

Values from the calculation:
Calculated density = 5.06 g/cm³
Uncorrected energy = -6.228 eV per atom
D(E_F) = 0.00 states/eV per atom

abc: 16.241 16.241 16.241
angles: 90.00 90.00 90.00
Space group Ia-3d (No. 230)
Inequivalent atoms, fractional coordinates:
1 Tb 0.000 0.000 0.000 (multiplicity 16)
2 Tb 0.000 0.250 0.375 (multiplicity 24)
3 Sm 0.000 0.250 0.125 (multiplicity 24)
4 S 0.022 0.070 0.653 (multiplicity 96)

No. 4
# TbSmS3

An optimized crystal structure of TbSmS3 (GGA-PBE, Alexandria via LeMat-Bulk).

Values from the calculation:
Calculated density = 5.99 g/cm³
Polymorph energy (0 for the lowest one) = 0.0 meV/atom
Uncorrected energy = -6.429 eV per atom

abc: 7.382 3.965 15.364
angles: 90.00 90.00 90.00
Space group Pnma (No. 62)
Inequivalent atoms, fractional coordinates:
1 Tb 0.233 0.250 0.043 (multiplicity 4)
2 Sm 0.143 0.750 0.297 (multiplicity 4)
3 S 0.011 0.750 0.107 (multiplicity 4)
4 S 0.124 0.250 0.435 (multiplicity 4)
5 S 0.149 0.750 0.717 (multiplicity 4)

No. 5
# Tb2SmS4

An optimized crystal structure of Tb2SmS4 (GGA-PBE, Alexandria via LeMat-Bulk).

Values from the calculation:
Calculated density = 5.96 g/cm³
Polymorph energy (0 for the lowest one) = 0.0 meV/atom
Uncorrected energy = -6.420 eV per atom
D(E_F) = 0.26 states/eV per atom

abc: 3.856 13.031 13.227
angles: 90.00 90.00 90.00
Space group Cmcm (No. 63)
Inequivalent atoms, fractional coordinates:
1 Tb 0.000 0.130 0.069 (multiplicity 8)
2 Sm 0.000 0.374 0.250 (multiplicity 4)
3 S 0.000 0.031 0.250 (multiplicity 4)
4 S 0.000 0.225 0.621 (multiplicity 8)
5 S 0.000 0.500 0.000 (multiplicity 4)

No. 6
# Tb2Sm3S4

An optimized crystal structure of Tb2Sm3S4 (GGA-PBE, Alexandria via LeMat-Bulk).

Values from the calculation:
Calculated density = 6.88 g/cm³
Uncorrected energy = -6.202 eV per atom
D(E_F) = 0.64 states/eV per atom

abc: 3.9244 3.9244 16.2373
angles: 90.00 90.00 120.00
Space group P-3m1 (No. 164)
Inequivalent atoms, fractional coordinates:
1 Tb 0.3333 0.6667 0.2040 (multiplicity 2)
2 Sm 0.0000 0.0000 0.0000 (multiplicity 1)
3 Sm 0.3333 0.6667 0.5928 (multiplicity 2)
4 S 0.0000 0.0000 0.3017 (multiplicity 2)
5 S 0.3333 0.6667 0.8950 (multiplicity 2)